DFT (GGA-PBE) results for an optimized crystal structure of Pm4Sm2Tm5.

Output
**Formation energy from the elements**: 11.1 kJ/mol of atoms
**Space group**: No. 12
**Crystal system**: monoclinic
**Total moment**: 0.000 μB per formula unit
**Calculated volume**: 365 Å³/f.u.
**Offset from the most stable computed form**: 61.2 meV/atom

Cell lengths 12.143, 12.143, 8.625 Å; angles 94.12, 94.12, 16.70 degrees
Element x y z (fractional)
Pm: 0.041 0.041 0.340
Pm: 0.411 0.411 0.304
Pm: 0.589 0.589 0.696
Pm: 0.959 0.959 0.660
Sm: 0.275 0.275 0.173
Sm: 0.725 0.725 0.827
Tm: 0.130 0.130 0.048
Tm: 0.187 0.187 0.472
Tm: 0.500 0.500 0.000
Tm: 0.813 0.813 0.528
Tm: 0.870 0.870 0.952